1.
A relaxed structure of CeCuTcP2, computed with PBE.

abc: 3.8583 3.8583 6.1420
angles: 108.31 108.31 90.00
With the nearest neighbours (Å) after each atom.
Element x y z (fractional)
Tc  0.2500  0.7500  0.5000  4 P 2.38
P  0.6232  0.6232  0.2463  2 Tc 2.38, 2 Cu 2.38
P  0.3768  0.3768  0.7537  2 Tc 2.38, 2 Cu 2.38
Ce  0.0000  0.0000  0.0000  8 P 3.05, 4 Tc 3.36, 4 Cu 3.36
Cu  0.7500  0.2500  0.5000  4 P 2.38

Computed properties:
The symmetry is I-4m2 (119). As for the energy: -34.78 eV for the cell shown. The formation energy from the elements comes out at -0.713 eV per atom.

=====

2.
A relaxed structure of CeZr2CuP4, computed with PBE.

abc: 3.8122 6.5384 12.9532
angles: 90.00 90.00 106.95
With the nearest neighbours (Å) after each atom.
Element x y z (fractional)
P  0.4527  0.9053  0.7500  2 Cu 2.28
P  0.0000  0.0000  0.0000  4 Zr 2.64
P  0.0000  0.0000  0.5000  4 Zr 2.64
P  0.7274  0.4549  0.8800  1 Cu 2.30
P  0.2726  0.5451  0.1200  1 Cu 2.30
P  0.2726  0.5451  0.3800  1 Cu 2.30
P  0.7274  0.4549  0.6200  1 Cu 2.30
P  0.5473  0.0947  0.2500  2 Cu 2.28
Zr  0.6313  0.2627  0.4395  6 P 2.63-2.71
Zr  0.3687  0.7373  0.9395  6 P 2.63-2.71
Zr  0.3687  0.7373  0.5605  6 P 2.63-2.71
Zr  0.6313  0.2627  0.0605  6 P 2.63-2.71
Cu  0.1477  0.2955  0.2500  4 P 2.28-2.30
Cu  0.8523  0.7045  0.7500  4 P 2.28-2.30
Ce  0.1181  0.2362  0.7500  6 P 2.81-2.89
Ce  0.8819  0.7638  0.2500  6 P 2.81-2.89

Computed properties:
The symmetry is Cmcm (63). As for the energy: -115.02 eV for the cell shown. The formation energy from the elements comes out at -1.093 eV per atom.

=====

Repeat the second record exactly.
A relaxed structure of CeZr2CuP4, computed with PBE.

abc: 3.8122 6.5384 12.9532
angles: 90.00 90.00 106.95
With the nearest neighbours (Å) after each atom.
Element x y z (fractional)
P  0.4527  0.9053  0.7500  2 Cu 2.28
P  0.0000  0.0000  0.0000  4 Zr 2.64
P  0.0000  0.0000  0.5000  4 Zr 2.64
P  0.7274  0.4549  0.8800  1 Cu 2.30
P  0.2726  0.5451  0.1200  1 Cu 2.30
P  0.2726  0.5451  0.3800  1 Cu 2.30
P  0.7274  0.4549  0.6200  1 Cu 2.30
P  0.5473  0.0947  0.2500  2 Cu 2.28
Zr  0.6313  0.2627  0.4395  6 P 2.63-2.71
Zr  0.3687  0.7373  0.9395  6 P 2.63-2.71
Zr  0.3687  0.7373  0.5605  6 P 2.63-2.71
Zr  0.6313  0.2627  0.0605  6 P 2.63-2.71
Cu  0.1477  0.2955  0.2500  4 P 2.28-2.30
Cu  0.8523  0.7045  0.7500  4 P 2.28-2.30
Ce  0.1181  0.2362  0.7500  6 P 2.81-2.89
Ce  0.8819  0.7638  0.2500  6 P 2.81-2.89

Computed properties:
The symmetry is Cmcm (63). As for the energy: -115.02 eV for the cell shown. The formation energy from the elements comes out at -1.093 eV per atom.

=====

> Look up the formation energy from the elements of the second one.

-1.093 eV per atom

=====

> energy of number 2 (CeZr2CuP4)?

-115.02 eV for the cell shown

=====

> Among the records above, which one has the highest energy?

CeCuTcP2